(1)
{"formula": "LiGeBO4", "functional": "SCAN", "state": "single point on PBEsol structure", "lattice_angstrom": [[-2.922, -1.176, -2.132], [-0.705, -2.643, 2.643], [-1.181, 5.070, 2.106]], "species": ["O", "O", "O", "O", "Li", "B", "Ge"], "fractional_positions": [[0.893, 0.893, 0.327], [0.435, 0.435, 0.327], [0.060, 0.640, 0.699], [0.640, 0.060, 0.699], [0.006, 0.006, 0.012], [0.748, 0.748, 0.497], [0.271, 0.271, 0.542]], "raw_formation_energy_ev_per_atom": -2.064, "dft_energy_ev_per_atom": -9.75, "mass_density_g_cm3": 3.58}

---

(2)
{"formula": "BeTlI2O", "functional": "SCAN", "state": "single point on PBEsol structure", "lattice_angstrom": [[-0.281, 1.251, 2.742], [5.116, -3.294, 2.027], [3.822, 4.823, -1.808]], "species": ["Be", "I", "I", "Tl", "O"], "fractional_positions": [[0.000, 0.000, 0.000], [0.000, 0.500, 0.000], [0.000, 0.000, 0.500], [0.500, 0.500, 0.500], [0.500, 0.000, 0.000]], "raw_formation_energy_ev_per_atom": -0.948, "dft_energy_ev_per_atom": -32.23, "mass_density_g_cm3": 6.44}